[1]
The following is a PBE calculation of MgBeAl2 after structural relaxation, from Alexandria via LeMat-Bulk.

Total moment (Bohr magnetons per cell): 0.0
E_form (eV per atom): 0.240
DFT total energy (eV per atom): -2.961

extended XYZ file:
```
4
Lattice="4.7502 -0.0140 0.0134 3.8687 2.7564 0.0134 0.9541 0.3036 4.8852" Properties=species:S:1:pos:R:3 pbc="T T T"
Al 0.9899 0.3150 4.8147
Al 7.2872 2.3187 3.6429
Be 4.7103 1.4987 2.4849
Mg 2.3260 0.7401 1.3104
```

***

[2]
The following is a PBE calculation of Mg2BeAl after structural relaxation, from Alexandria via LeMat-Bulk.

Total moment (Bohr magnetons per cell): 0.0
E_form (eV per atom): 0.250
DFT total energy (eV per atom): -2.414

extended XYZ file:
```
4
Lattice="-2.0616 9.1031 -0.1251 -4.4708 8.0855 1.3295 -1.9528 8.6765 2.8350" Properties=species:S:1:pos:R:3 pbc="T T T"
Mg -2.0765 6.3297 0.9885
Mg -0.1019 0.3108 0.0485
Al -4.1384 12.6149 1.9701
Be -6.4109 19.5422 3.0520
```

***

[3]
The following is a PBE calculation of MgBeAl2 after structural relaxation, from Alexandria via LeMat-Bulk.

Total moment (Bohr magnetons per cell): 0.0
E_form (eV per atom): 0.211
DFT total energy (eV per atom): -2.991

extended XYZ file:
```
4
Lattice="4.9280 0.0370 0.0000 1.6982 4.6263 0.0000 -3.3131 -2.3316 2.8059" Properties=species:S:1:pos:R:3 pbc="T T T"
Mg 2.4640 0.0185 1.4030
Be 0.8491 2.3131 1.4030
Al 0.0000 0.0000 0.0000
Al 3.3131 2.3316 0.0000
```

***

[4]
The following is a PBE calculation of Mg2BeAl after structural relaxation, from Alexandria via LeMat-Bulk.

Total moment (Bohr magnetons per cell): 0.0
E_form (eV per atom): 0.176
DFT total energy (eV per atom): -2.489

extended XYZ file:
```
4
Lattice="2.8843 0.0000 0.0000 0.0000 2.8843 0.0000 0.0000 0.0000 8.2066" Properties=species:S:1:pos:R:3 pbc="T T T"
Be 0.0000 0.0000 5.4216
Al 1.4422 1.4422 3.8584
Mg 0.0000 0.0000 1.5689
Mg 1.4422 1.4422 7.2714
```

***

[5]
The following is a PBE calculation of MgBe3Al after structural relaxation, from Alexandria via LeMat-Bulk.

Total moment (Bohr magnetons per cell): 0.0
E_form (eV per atom): 0.954
DFT total energy (eV per atom): -2.350

extended XYZ file:
```
5
Lattice="-1.2063 3.9620 1.2994 0.1373 -1.3142 4.1346 4.1674 1.1901 0.2399" Properties=species:S:1:pos:R:3 pbc="T T T"
Al 0.0000 0.0000 0.0000
Be 2.0837 0.5951 0.1200
Be -0.6031 1.9810 0.6497
Be 0.0686 -0.6571 2.0673
Mg 1.5492 1.9190 2.8370
```

***

[6]
The following is a PBE calculation of MgBeAl2 after structural relaxation, from Alexandria via LeMat-Bulk.

Total moment (Bohr magnetons per cell): 0.0
E_form (eV per atom): 0.104
DFT total energy (eV per atom): -3.097

extended XYZ file:
```
8
Lattice="-2.6579 -1.4895 3.5857 2.2129 -2.9929 0.3971 4.5276 3.9308 4.3958" Properties=species:S:1:pos:R:3 pbc="T T T"
Mg 0.6706 1.1144 4.6629
Mg 0.5153 0.5118 0.9853
Al 2.8421 0.1172 2.6889
Al 2.4089 0.3931 7.1826
Al 0.5094 -1.5317 3.2607
Al 2.7787 2.8602 6.0730
Be 2.6579 2.4530 3.6767
Be 3.3637 0.7982 4.9146
```

***

[7]
The following is a PBE calculation of MgBeAl2 after structural relaxation, from Alexandria via LeMat-Bulk.

Total moment (Bohr magnetons per cell): 0.0
E_form (eV per atom): 0.194
DFT total energy (eV per atom): -3.008

extended XYZ file:
```
4
Lattice="-1.3924 0.2963 -2.4348 -1.7281 -3.1350 0.6067 -4.6079 3.1235 3.0152" Properties=species:S:1:pos:R:3 pbc="T T T"
Al -0.1520 0.1031 0.0995
Al -2.8653 -0.5347 -0.0601
Mg -4.9278 0.8634 1.2896
Be -2.0872 1.4148 1.3658
```

***

[8]
The following is a PBE calculation of Mg2BeAl after structural relaxation, from Alexandria via LeMat-Bulk.

Total moment (Bohr magnetons per cell): 0.0
E_form (eV per atom): 0.248
DFT total energy (eV per atom): -2.416

extended XYZ file:
```
4
Lattice="-1.6366 -0.3954 6.1904 0.7559 -4.1403 -2.6821 2.0969 -0.8621 1.9126" Properties=species:S:1:pos:R:3 pbc="T T T"
Mg 0.0000 0.0000 0.0000
Mg 0.2302 -0.6288 4.0515
Be -0.4403 -2.2678 1.7542
Al 1.4264 -2.5012 -0.3847
```

***

[9]
The following is a PBE calculation of Mg16BeAl12 after structural relaxation, from Alexandria via LeMat-Bulk.

Total moment (Bohr magnetons per cell): 0.0
E_form (eV per atom): 0.000
DFT total energy (eV per atom): -2.557

extended XYZ file:
```
29
Lattice="8.5470 -0.0060 -2.9721 -4.2254 7.4295 -2.9721 0.0136 0.0234 8.9751" Properties=species:S:1:pos:R:3 pbc="T T T"
Mg 4.2994 7.3854 -0.0885
Mg 1.5949 7.4340 -1.3999
Mg 1.3459 2.3118 4.5109
Mg 5.7635 4.8257 -4.8677
Mg -0.7782 7.4074 1.9421
Mg 4.0162 3.0312 -3.1334
Mg 6.8258 2.9807 1.9421
Mg 3.8848 2.1458 2.7462
Mg -0.2393 5.2231 -0.2618
Mg 1.3506 7.3947 -4.8677
Mg -0.0521 4.4378 2.7462
Mg 0.0077 0.0132 0.0192
Mg 4.6602 2.3708 -0.2618
Mg 1.6362 2.8105 0.7655
Mg 0.6529 4.9891 -3.1334
Mg 5.6771 5.0575 -1.3999
Al 2.3114 1.2849 7.2826
Al -2.6533 7.4124 -0.2552
Al 2.7670 4.7530 3.6331
Al -1.8630 5.9932 4.3515
Al 3.5103 6.0299 -3.0582
Al 1.9690 6.0689 1.3339
Al 6.1315 1.3391 4.3515
Al 6.9391 2.6941 -2.4154
Al 7.7559 1.3527 -0.2552
Al -0.0239 2.6444 7.2826
Al 4.3053 4.7088 1.3339
Al -1.0835 7.3645 -2.4154
Be 2.9327 5.0377 -0.8048
```

***

[10]
The following is a PBE calculation of MgBeAl after structural relaxation, from Alexandria via LeMat-Bulk.

Total moment (Bohr magnetons per cell): 0.0
E_form (eV per atom): 0.127
DFT total energy (eV per atom): -2.894

extended XYZ file:
```
12
Lattice="-1.9583 -4.1381 1.0892 5.5673 -2.8119 -0.6736 1.2304 0.9979 6.0031" Properties=species:S:1:pos:R:3 pbc="T T T"
Al 3.8140 -2.4449 2.6513
Al 5.3329 -2.4024 5.5435
Al 0.6664 -2.6090 6.5343
Al 0.9549 -3.5644 3.4234
Be 3.7680 -0.6076 4.4659
Be 2.7889 -2.6767 5.0105
Be 0.3692 0.2994 1.8011
Be -0.6100 -1.7697 2.3457
Mg 1.1814 -0.8225 4.0819
Mg 1.6126 -1.8500 0.9537
Mg 4.0323 -4.8260 4.1631
Mg 2.3707 -4.7964 1.2882
```